# 1
Zr2MoPt | Alexandria | GGA-PBEsol | optimized geometry; E_tot = -9.7822 eV per atom; ΔH_f (0 K) = -0.55 eV/atom
1.0
-0.712 2.709 1.904
1.266 -2.309 3.759
4.304 1.501 -0.527
Mo Zr Pt
1 2 1
Cartesian
2.429 0.951 2.568
2.152 0.751 -0.264
0.633 -1.154 1.879
-0.356 1.355 0.952

---

# 2
SiSn3S | Alexandria | GGA-PBEsol | optimized geometry; E_tot = -4.0255 eV per atom; ΔE_f (raw) = 556 meV per atom
1.0
5.189 0.000 0.000
0.000 5.189 0.000
0.000 0.000 5.189
S Si Sn
1 1 3
Cartesian
0.000 0.000 0.000
2.594 2.594 2.594
0.000 2.594 0.000
0.000 0.000 2.594
2.594 0.000 0.000

---

# 3
Nb2TcPtW | Alexandria | GGA-PBEsol | optimized geometry; E_tot = -8.9300 eV per atom; ΔH_f (0 K) = 1.81 eV/atom
1.0
4.716 0.000 0.000
0.000 4.765 0.000
0.000 0.000 4.765
Nb W Pt Tc
2 1 1 1
Cartesian
0.000 0.000 2.383
0.000 2.383 0.000
0.000 0.000 0.000
2.358 0.000 0.000
2.358 2.383 2.383

---

# 4
MgTaPt2 | Alexandria | GGA-PBEsol | optimized geometry; E_tot = -7.7495 eV per atom; ΔH_f (0 K) = -0.70 eV/atom
1.0
-1.682 0.518 -2.186
2.524 -2.933 -2.636
-2.857 -3.657 1.332
Mg Pt Ta
1 2 1
Cartesian
-0.051 -1.812 -2.191
-0.227 -0.291 0.106
-0.689 -3.963 -0.408
-2.477 -1.834 -0.331

---

# 5
Tl3TcGe | Alexandria | GGA-PBEsol | optimized geometry; E_tot = -3.9698 eV per atom; ΔH_f (0 K) = 0.85 eV/atom
1.0
5.221 0.000 0.000
0.000 5.221 0.000
0.000 0.000 5.221
Tl Ge Tc
3 1 1
Cartesian
0.000 2.611 0.000
0.000 0.000 2.611
2.611 0.000 0.000
2.611 2.611 2.611
0.000 0.000 0.000

---

# 6
YSeF3 | Alexandria | GGA-PBEsol | optimized geometry; E_tot = -4.3858 eV per atom; ΔE_f (raw) = -1095 meV per atom
1.0
-0.691 2.593 3.566
-4.175 -1.545 0.314
1.417 -3.287 2.665
F Se Y
3 1 1
Cartesian
-1.379 -2.416 1.490
0.363 -0.347 3.116
-2.433 0.524 1.940
-1.725 -1.119 3.273
0.000 0.000 0.000